# K2ZrU2S6

A relaxed K2ZrU2S6 crystal (PBE-GGA, the Alexandria database).

Formation energy without anion corrections in eV per atom: -1.471

Cell and atoms, written as CIF:
```
data_K2ZrU2S6
_space_group_name_H-M_alt 'C 1 2/m 1'
_space_group_IT_number 12
_space_group_name_Hall '-C 2y'
_cell_length_a 6.769
_cell_length_b 11.644
_cell_length_c 7.943
_cell_angle_alpha 90.00
_cell_angle_beta 106.31
_cell_angle_gamma 90.00
loop_
_atom_site_label
_atom_site_type_symbol
_atom_site_fract_x
_atom_site_fract_y
_atom_site_fract_z
K1 K 0.000 0.167 0.000
Zr1 Zr 0.000 0.000 0.500
U1 U 0.000 0.334 0.500
S1 S 0.227 0.162 0.697
S2 S 0.245 0.500 0.698
```